LiCdRe GGA-PBE relaxed; SG = No. 216; M_tot = 2.185 μB per formula unit
1.0
4.2031 0.0000 0.0000
2.1015 3.6399 0.0000
2.1015 1.2133 3.4318
Cd Re Li
1 1 1
Direct
0.5000 0.5000 0.5000
0.0000 0.0000 0.0000
0.7500 0.7500 0.7500

---

LiCd2Re GGA-PBE relaxed; SG = No. 225; M_tot = 1.883 μB per formula unit
1.0
0.0000 3.3009 3.3009
3.3009 0.0000 3.3009
3.3009 3.3009 0.0000
Li Cd Re
1 2 1
Direct
0.0000 0.0000 0.0000
0.7500 0.7500 0.7500
0.2500 0.2500 0.2500
0.5000 0.5000 0.5000

---

LiCd2Re GGA-PBE relaxed; SG = No. 119; M_tot = 0.000 μB per formula unit
1.0
-3.5923 -3.7328 0.1270
1.2756 -4.0312 2.9961
-0.0706 5.1401 0.6545
Re Cd Li
1 2 1
Direct
0.7500 0.2500 0.5000
0.0000 0.0000 0.0000
0.2500 0.7500 0.5000
0.5000 0.5000 0.0000

---

| no. | relative energy among the computed polymorphs (eV per formula unit) | energy relative to the elements (eV per formula unit) | Fermi-level density of states (states/eV/cell) |
| --- | --- | --- | --- |
| 1 | 2.96 | 3.87 | 1.36 |
| 2 | 1.11 | 2.15 | 2.17 |
| 3 | 1.33 | 2.37 | 2.20 |